# CaHgRh2 | the Alexandria database | GGA-PBEsol | relaxed
data_CaHgRh2
_chemical_formula_sum 'Ca1 Hg1 Rh2'
_symmetry_space_group_name_H-M 'P 1'
_symmetry_Int_Tables_number 1
_cell_length_a 2.9111
_cell_length_b 4.6222
_cell_length_c 5.3352
_cell_angle_alpha 90.00
_cell_angle_beta 97.89
_cell_angle_gamma 90.00
loop_
_symmetry_equiv_pos_as_xyz
'x,y,z'
loop_
_atom_site_label
_atom_site_type_symbol
_atom_site_fract_x
_atom_site_fract_y
_atom_site_fract_z
Ca1 Ca 0.0000 0.0000 0.0000
Hg1 Hg 0.5000 0.0000 0.5000
Rh1 Rh 0.3084 0.5000 0.7217
Rh2 Rh 0.6916 0.5000 0.2783
# - N(E_F) (states/eV/cell) = 2.20
# - volume (Å³ per cell) = 71
# - ΔE_f (eV/atom) = 0.05
# - ρ (g/cm³) = 10.4
# - raw total energy (Ry/atom) = -0.3451
# - crystal system = monoclinic
# - space-group type = P2/m